# 1
Density functional theory data (GGA-PBE) for a relaxed Tb2PrDy8 crystal.

Magnetic moment: 0.00 μB/f.u.
Calculated formation energy: 0.1138 eV per atom
Mass density: 8157 kg/m3
ΔE to the lowest computed polymorph: 0.000 eV per atom

Cell: 5.509 8.138 15.972 Å, 90.00 90.00 90.00°
Space group Immm (No. 71)
Asymmetric unit:
Tb (0.000, 0.000, 0.200) [4 per cell]
Pr (0.000, 0.000, 0.500) [2 per cell]
Dy (0.000, 0.205, 0.000) [4 per cell]
Dy (0.000, 0.294, 0.360) [8 per cell]
Dy (0.000, 0.500, 0.163) [4 per cell]

=====

# 2
Density functional theory data (GGA-PBE) for a relaxed Ac3La6Pm crystal.

Magnetic moment: 0.00 μB/f.u.
Calculated formation energy: 0.1175 eV per atom
Mass density: 7033 kg/m3

Cell: 10.422 15.634 9.618 Å, 90.00 90.00 90.00°
Space group Cmc2_1 (No. 36)
Asymmetric unit:
Ac (0.000, 0.035, 0.000) [4 per cell]
Ac (0.177, 0.344, 0.515) [8 per cell]
La (0.000, 0.194, 0.283) [4 per cell]
La (0.000, 0.435, 0.171) [4 per cell]
La (0.183, 0.139, 0.684) [8 per cell]
La (0.206, 0.427, 0.857) [8 per cell]
Pm (0.000, 0.263, 0.913) [4 per cell]

=====

# 3
Density functional theory data (GGA-PBE) for a relaxed HgPOs2 crystal.

Magnetic moment: 0.00 μB/f.u.
Calculated formation energy: 0.4187 eV per atom
Mass density: 16666 kg/m3
ΔE to the lowest computed polymorph: 0.127 eV per atom

Cell: 2.929 2.929 7.110 Å, 90.00 90.00 90.00°
Space group P4/mmm (No. 123)
Asymmetric unit:
Hg (0.000, 0.000, 0.000) [1 per cell]
P (0.000, 0.000, 0.500) [1 per cell]
Os (0.500, 0.500, 0.310) [2 per cell]

=====

# 4
Density functional theory data (GGA-PBE) for a relaxed Tc2Sn2Hg crystal.

Magnetic moment: 0.00 μB/f.u.
Calculated formation energy: 0.5199 eV per atom
Mass density: 9986 kg/m3
ΔE to the lowest computed polymorph: 0.329 eV per atom

Cell: 4.226 4.226 11.808 Å, 90.00 90.00 90.00°
Space group I4/mmm (No. 139)
Asymmetric unit:
Tc (0.000, 0.000, 0.099) [4 per cell]
Sn (0.000, 0.500, 0.250) [4 per cell]
Hg (0.000, 0.000, 0.500) [2 per cell]

=====

# 5
Density functional theory data (GGA-PBE) for a relaxed NbAg crystal.

Magnetic moment: 0.45 μB/f.u.
Calculated formation energy: 1.6146 eV per atom
Mass density: 6753 kg/m3

Cell: 4.5890 4.5890 5.4143 Å, 90.00 90.00 120.00°
Space group P6_3/mmc (No. 194)
Asymmetric unit:
Nb (0.3333, 0.6667, 0.2500) [2 per cell]
Ag (0.3333, 0.6667, 0.7500) [2 per cell]

=====

# 6
Density functional theory data (GGA-PBE) for a relaxed HoThInGa crystal.

Magnetic moment: 0.00 μB/f.u.
Calculated formation energy: -0.3567 eV per atom
Mass density: 9239 kg/m3

Cell: 7.477 7.477 7.477 Å, 90.00 90.00 90.00°
Space group F-43m (No. 216)
Asymmetric unit:
Ho (0.000, 0.000, 0.000) [4 per cell]
Th (0.000, 0.000, 0.500) [4 per cell]
In (0.250, 0.250, 0.750) [4 per cell]
Ga (0.250, 0.250, 0.250) [4 per cell]

=====

# 7
Density functional theory data (GGA-PBE) for a relaxed Sm7Dy2Cd2 crystal.

Magnetic moment: 0.00 μB/f.u.
Calculated formation energy: -0.0458 eV per atom
Mass density: 7688 kg/m3

Cell: 8.767 9.762 8.599 Å, 90.00 109.87 90.00°
Space group C2/m (No. 12)
Asymmetric unit:
Sm (0.000, 0.000, 0.000) [2 per cell]
Sm (0.135, 0.000, 0.416) [4 per cell]
Sm (0.198, 0.324, 0.173) [8 per cell]
Dy (0.000, 0.322, 0.500) [4 per cell]
Cd (0.120, 0.500, 0.824) [4 per cell]

=====

# 8
Density functional theory data (GGA-PBE) for a relaxed SrAgBrCl2 crystal.

Magnetic moment: 0.00 μB/f.u.
Mass density: 3586 kg/m3
Uncorrected formation energy: -7.76 eV per formula unit

Cell: 8.061 4.650 8.577 Å, 90.00 94.05 90.00°
Space group P2_1/m (No. 11)
Asymmetric unit:
Sr (0.231, 0.250, 0.080) [2 per cell]
Ag (0.328, 0.750, 0.551) [2 per cell]
Br (0.368, 0.750, 0.867) [2 per cell]
Cl (0.042, 0.750, 0.167) [2 per cell]
Cl (0.297, 0.250, 0.428) [2 per cell]

=====

Please write out number 1 again, unchanged.
Density functional theory data (GGA-PBE) for a relaxed Tb2PrDy8 crystal.

Magnetic moment: 0.00 μB/f.u.
Calculated formation energy: 0.1138 eV per atom
Mass density: 8157 kg/m3
ΔE to the lowest computed polymorph: 0.000 eV per atom

Cell: 5.509 8.138 15.972 Å, 90.00 90.00 90.00°
Space group Immm (No. 71)
Asymmetric unit:
Tb (0.000, 0.000, 0.200) [4 per cell]
Pr (0.000, 0.000, 0.500) [2 per cell]
Dy (0.000, 0.205, 0.000) [4 per cell]
Dy (0.000, 0.294, 0.360) [8 per cell]
Dy (0.000, 0.500, 0.163) [4 per cell]